Here is an optimized crystal structure of LaZnRh from the Alexandria database. Energies are from PBE.

abc: 4.4011 4.4011 3.9603
angles: 90.00 90.00 120.00
Atoms (fractional coordinates):
La 0.0000 0.0000 0.0000
Zn 0.3333 0.6667 0.5000
Rh 0.6667 0.3333 0.5000

Properties
- Magnetization: 0.00 μB per formula unit
- Calculated formation energy: -597 meV/atom
- Fermi-level density of states: 1.216 states/eV per cell
- Volume: 66.4 Å³/cell



Here is an optimized crystal structure of BaRe2Ru from the Alexandria database. Energies are from PBE.

abc: 10.4826 10.4826 10.4826
angles: 15.91 15.91 15.91
Atoms (fractional coordinates):
Ba 0.0000 0.0000 0.0000
Re 0.2342 0.2342 0.2342
Re 0.7658 0.7658 0.7658
Ru 0.5000 0.5000 0.5000

Properties
- Magnetization: 0.00 μB per formula unit
- Calculated formation energy: 1042 meV/atom
- Fermi-level density of states: 4.218 states/eV per cell
- Distance to the lowest polymorph of the same formula: 463.3 meV/atom
- Volume: 75.4 Å³/cell



Here is an optimized crystal structure of CeNp2Ru from the Alexandria database. Energies are from PBE.

abc: 5.7196 5.7196 5.7196
angles: 47.26 47.26 47.26
Atoms (fractional coordinates):
Ce 0.0000 0.0000 0.0000
Np 0.1730 0.1730 0.1730
Np 0.8270 0.8270 0.8270
Ru 0.5000 0.5000 0.5000

Properties
- Magnetization: 0.00 μB per formula unit
- Calculated formation energy: 351 meV/atom
- Fermi-level density of states: 8.295 states/eV per cell
- Volume: 92.3 Å³/cell



no.,density (g/cm³)
1,7.68
2,13.44
3,12.87